(1)
Entry from Alexandria via LeMat-Bulk: a relaxed NaAc5Sn6 crystal (PBE-GGA).

Calculated values
Volume, Å³ per atom: 33.1
Space group: Immm
Total energy, eV per atom: -4.379

```
NaAc5Sn6
1.0
5.0583 1.4771 0.0000
2.4486 10.3971 0.0003
1.2242 5.1988 8.1130
Na Ac Sn
1 5 6
direct
0.0000 0.0000 0.0000
0.5000 0.1520 0.6959
0.0000 0.3302 0.3396
0.5000 0.5000 0.0000
0.0000 0.6698 0.6604
0.5000 0.8480 0.3041
0.7493 0.0834 0.3345
0.2507 0.5820 0.3345
0.2486 0.2510 0.0000
0.7514 0.7490 0.0000
0.7493 0.4180 0.6655
0.2507 0.9166 0.6655
```

***

(2)
Entry from Alexandria via LeMat-Bulk: a relaxed Ag2PtPb crystal (PBE-GGA).

Calculated values
Volume, Å³ per atom: 21.4
Space group: I-42d
Total energy, eV per atom: -3.662

```
Ag2PtPb
1.0
-4.3326 -5.4289 -3.7916
0.0317 -4.5480 6.4758
-4.4413 -3.7671 2.2111
Pb Ag Pt
2 4 2
direct
0.0000 0.0000 0.0000
0.7500 0.2500 0.5000
0.6004 0.1250 0.2500
0.1496 0.6250 0.2500
0.3750 0.3996 0.7500
0.8750 0.8504 0.7500
0.5000 0.5000 0.0000
0.2500 0.7500 0.5000
```

***

(3)
Entry from Alexandria via LeMat-Bulk: a relaxed TaTiNb6 crystal (PBE-GGA).

Calculated values
Energy relative to the lowest polymorph listed for this composition, meV per atom: 169
Volume, Å³ per atom: 18.4
Space group: R-3m
Total energy, eV per atom: -9.853

```
TaTiNb6
1.0
5.7209 -0.8404 -0.9506
-1.4602 5.5949 -0.9506
-1.4602 -1.6294 5.4361
Ta Ti Nb
1 1 6
direct
0.5000 0.5000 0.5000
0.0000 0.0000 0.0000
0.2500 0.7515 0.2500
0.2500 0.2500 0.7515
0.7500 0.2485 0.7500
0.2485 0.7500 0.7500
0.7500 0.7500 0.2485
0.7515 0.2500 0.2500
```

***

Number 1: N(E_F) 0.69 states/eV per atom. Number 2: N(E_F) 0.31 states/eV per atom. Number 3: N(E_F) 1.42 states/eV per atom.